No. 1
# PBE Mg3Si4, optimized geometry
data_Mg3Si4
_symmetry_space_group_name_H-M 'P 1'
_symmetry_Int_Tables_number 1
_cell_length_a 6.756
_cell_length_b 7.570
_cell_length_c 11.417
_cell_angle_alpha 71.79
_cell_angle_beta 85.44
_cell_angle_gamma 73.25
loop_
_symmetry_equiv_pos_as_xyz
'x,y,z'
loop_
_atom_site_label
_atom_site_type_symbol
_atom_site_fract_x
_atom_site_fract_y
_atom_site_fract_z
_atom_site_occupancy
Mg1 Mg 0.000 0.000 0.000 1
Mg2 Mg 0.009 0.744 0.596 1
Mg3 Mg 0.050 0.406 0.305 1
Mg4 Mg 0.178 0.813 0.293 1
Mg5 Mg 0.213 0.098 0.670 1
Mg6 Mg 0.284 0.259 0.092 1
Mg7 Mg 0.498 0.730 0.552 1
Mg8 Mg 0.532 0.405 0.284 1
Mg9 Mg 0.542 0.032 0.925 1
Mg10 Mg 0.693 0.178 0.578 1
Mg11 Mg 0.765 0.415 0.772 1
Mg12 Mg 0.861 0.605 0.027 1
Si1 Si 0.157 0.287 0.858 1
Si2 Si 0.173 0.032 0.451 1
Si3 Si 0.191 0.600 0.835 1
Si4 Si 0.224 0.644 0.113 1
Si5 Si 0.278 0.456 0.496 1
Si6 Si 0.390 0.401 0.702 1
Si7 Si 0.461 0.626 0.944 1
Si8 Si 0.462 0.021 0.313 1
Si9 Si 0.565 0.790 0.177 1
Si10 Si 0.597 0.824 0.755 1
Si11 Si 0.660 0.292 0.017 1
Si12 Si 0.783 0.749 0.349 1
Si13 Si 0.824 0.044 0.380 1
Si14 Si 0.903 0.468 0.526 1
Si15 Si 0.906 0.215 0.174 1
Si16 Si 0.909 0.896 0.796 1
# ΔE_f (raw) in eV per atom: 0.075
# V in Å³ per cell: 531.0
# DFT total energy in eV per cell: -103.8
# Magnetic moment in μB/cell: 0.00


No. 2
# PBE PmNdNiSn, optimized geometry
data_PmNdNiSn
_symmetry_space_group_name_H-M 'F -4 3 m'
_symmetry_Int_Tables_number 216
_symmetry_space_group_name_Hall 'F -4 2 3'
_cell_length_a 7.436
_cell_length_b 7.436
_cell_length_c 7.436
_cell_angle_alpha 90.00
_cell_angle_beta 90.00
_cell_angle_gamma 90.00
loop_
_atom_site_label
_atom_site_type_symbol
_atom_site_fract_x
_atom_site_fract_y
_atom_site_fract_z
_atom_site_occupancy
Pm1 Pm 0.000 0.000 0.000 1
Nd1 Nd 0.000 0.000 0.500 1
Ni1 Ni 0.250 0.250 0.750 1
Sn1 Sn 0.250 0.250 0.250 1
# V in Å³ per cell: 411.2
# DFT total energy in eV per cell: -83.2
# Magnetic moment in μB/cell: 0.00


No. 3
# PBE YTiSN2, optimized geometry
data_YTiSN2
_symmetry_space_group_name_H-M 'P 4/m m m'
_symmetry_Int_Tables_number 123
_symmetry_space_group_name_Hall '-P 4 2'
_cell_length_a 4.221
_cell_length_b 4.221
_cell_length_c 5.297
_cell_angle_alpha 90.00
_cell_angle_beta 90.00
_cell_angle_gamma 90.00
loop_
_atom_site_label
_atom_site_type_symbol
_atom_site_fract_x
_atom_site_fract_y
_atom_site_fract_z
_atom_site_occupancy
Y1 Y 0.000 0.000 0.000 1
Ti1 Ti 0.500 0.500 0.500 1
S1 S 0.000 0.000 0.500 1
N1 N 0.000 0.500 0.000 1
# ΔE_f (raw) in eV per atom: 0.607
# V in Å³ per cell: 94.4
# DFT total energy in eV per cell: -32.1
# Magnetic moment in μB/cell: 1.45